A plane-wave DFT calculation with GGA+U was carried out for a geometry-optimized W2C3O3 structure.

Lattice parameters (Å, degrees): 5.5426 5.5426 3.6123 90.00 90.00 90.95
Fractional coordinates of all 8 atoms:
1 W 0.2489 0.7511 0.0000
2 W 0.7511 0.2489 0.0000
3 C 0.0000 0.0000 0.0000
4 C 0.0901 0.9099 0.5000
5 C 0.9099 0.0901 0.5000
6 O 0.0000 0.5000 0.0000
7 O 0.5000 0.0000 0.0000
8 O 0.5000 0.5000 0.0000

- symmetry = Cmmm, No. 65
- N(E_F) (states/eV per cell) = 2.2
- calculated total energy (eV/atom) = -7.08